[1]
ZnFe3Pb (SCAN, single point on PBEsol structure); calculated formation energy = 0.908 eV/atom; final energy = -27.8293 eV/atom
1.0
-1.416 2.190 3.556
2.059 -2.901 2.606
3.633 2.497 -0.091
Fe Pb Zn
3 1 1
direct
0.000 0.500 0.000 Fe
0.000 0.000 0.500 Fe
0.500 0.000 0.000 Fe
0.500 0.500 0.500 Pb
0.000 0.000 0.000 Zn



[2]
Tl2AgIr2 (SCAN, single point on PBEsol structure); calculated formation energy = 0.568 eV/atom; final energy = -63.0885 eV/atom
1.0
3.547 0.000 0.000
0.000 3.547 0.000
-1.774 -1.774 8.366
Tl Ir Ag
2 2 1
direct
0.393 0.393 0.786 Tl
0.607 0.607 0.214 Tl
0.250 0.750 0.500 Ir
0.750 0.250 0.500 Ir
0.000 0.000 0.000 Ag



[3]
Ho2Fe3Si5 (SCAN, single point on PBEsol structure); ΔE_f (raw) = -6.17 eV per formula unit; final energy = -20.8611 eV/atom
1.0
5.387 0.000 0.000
0.000 10.228 0.000
0.000 0.000 10.228
Si Fe Ho
20 12 8
direct
0.250 0.322 0.822 Si
0.750 0.178 0.322 Si
0.765 0.500 0.500 Si
0.750 0.678 0.178 Si
0.500 0.023 0.680 Si
0.250 0.178 0.322 Si
0.265 0.000 0.000 Si
0.000 0.523 0.820 Si
0.000 0.477 0.180 Si
0.500 0.977 0.320 Si
0.500 0.680 0.977 Si
0.000 0.820 0.477 Si
0.735 0.000 0.000 Si
0.250 0.822 0.678 Si
0.000 0.180 0.523 Si
0.250 0.678 0.178 Si
0.750 0.322 0.822 Si
0.750 0.822 0.678 Si
0.235 0.500 0.500 Si
0.500 0.320 0.023 Si
0.500 0.123 0.144 Fe
0.000 0.644 0.623 Fe
0.500 0.144 0.877 Fe
0.750 0.000 0.500 Fe
0.500 0.856 0.123 Fe
0.000 0.377 0.644 Fe
0.250 0.000 0.500 Fe
0.000 0.356 0.377 Fe
0.750 0.500 0.000 Fe
0.250 0.500 0.000 Fe
0.000 0.623 0.356 Fe
0.500 0.877 0.856 Fe
0.500 0.569 0.736 Ho
0.500 0.736 0.431 Ho
0.000 0.764 0.931 Ho
0.000 0.069 0.764 Ho
0.000 0.236 0.069 Ho
0.500 0.264 0.569 Ho
0.000 0.931 0.236 Ho
0.500 0.431 0.264 Ho



[4]
SrAgAu2 (SCAN, single point on PBEsol structure); calculated formation energy = -0.400 eV/atom; final energy = -48.3894 eV/atom
1.0
4.925 0.000 0.000
2.463 4.265 0.000
2.463 1.422 4.021
Au Sr Ag
2 1 1
direct
0.750 0.750 0.750 Au
0.000 0.000 0.000 Au
0.250 0.250 0.250 Sr
0.500 0.500 0.500 Ag



[5]
Ag2AuSe (SCAN, single point on PBEsol structure); ΔE_f (raw) = 0.62 eV per formula unit; final energy = -37.8371 eV/atom
1.0
-1.435 -1.382 4.205
1.667 -3.930 1.852
2.907 0.188 3.628
Au Ag Se
1 2 1
direct
0.500 0.500 0.500 Au
0.750 0.750 0.750 Ag
0.000 0.000 0.000 Ag
0.250 0.250 0.250 Se



[6]
K2SbPt (SCAN, single point on PBEsol structure); ΔE_f (raw) = -1.86 eV per formula unit; final energy = -31.4918 eV/atom
1.0
4.639 0.000 0.000
2.319 4.017 0.000
2.319 1.339 6.518
Sb K Pt
1 2 1
direct
0.789 0.789 0.633 Sb
0.227 0.227 0.319 K
0.017 0.017 0.948 K
0.454 0.454 0.637 Pt



[7]
TlHg2Au (SCAN, single point on PBEsol structure); calculated formation energy = 0.041 eV/atom; E above lowest polymorph = 0.030 eV/atom; final energy = -69.4203 eV/atom
1.0
3.472 0.085 0.000
-0.083 3.472 0.000
0.000 0.000 7.514
Tl Hg Au
1 2 1
direct
0.000 0.000 0.474 Tl
0.000 0.000 0.023 Hg
0.500 0.500 0.769 Hg
0.500 0.500 0.233 Au



[8]
RuRh2Au (SCAN, single point on PBEsol structure); calculated formation energy = 0.379 eV/atom; E above lowest polymorph = 0.316 eV/atom; final energy = -42.5024 eV/atom
1.0
-1.081 -0.275 2.447
-4.155 -0.976 -1.992
3.684 -3.845 -0.260
Rh Ru Au
2 1 1
direct
0.000 0.000 0.500 Rh
0.500 0.500 0.500 Rh
0.000 0.500 0.000 Ru
0.500 0.000 0.000 Au



The lowest final energy belongs to which entry?
TlHg2Au